Record 1
# GGA-PBEsol NaCa2PdBr, relaxed
# energy relative to the elements, uncorrected = -237 meV/atom
data_NaCa2PdBr
_space_group_name_H-M_alt 'P 1'
_space_group_IT_number 1
_cell_length_a 4.8983
_cell_length_b 5.5772
_cell_length_c 5.5772
_cell_angle_alpha 90.00
_cell_angle_beta 90.00
_cell_angle_gamma 90.00
loop_
_space_group_symop_operation_xyz
'x,y,z'
loop_
_atom_site_label
_atom_site_fract_x
_atom_site_fract_y
_atom_site_fract_z
_atom_site_occupancy
Ca1 0.0000 0.5000 0.0000 1
Br1 0.0000 0.0000 0.0000 1
Pd1 0.5000 0.0000 0.0000 1
Na1 0.5000 0.5000 0.5000 1
Ca2 0.0000 0.0000 0.5000 1

Record 2
# GGA-PBEsol Ba2ZrMn, relaxed
# E_form = 0.977 eV/atom
data_Ba2ZrMn
_space_group_name_H-M_alt 'P 1'
_space_group_IT_number 1
_cell_length_a 5.6274
_cell_length_b 5.6274
_cell_length_c 5.6274
_cell_angle_alpha 60.00
_cell_angle_beta 60.00
_cell_angle_gamma 60.00
loop_
_space_group_symop_operation_xyz
'x,y,z'
loop_
_atom_site_label
_atom_site_fract_x
_atom_site_fract_y
_atom_site_fract_z
_atom_site_occupancy
Mn1 0.0000 0.0000 0.0000 1
Zr1 0.5000 0.5000 0.5000 1
Ba1 0.2500 0.2500 0.2500 1
Ba2 0.7500 0.7500 0.7500 1

Record 3
# GGA-PBEsol CaSc2Cr, relaxed
# E_form = 0.525 eV/atom
data_CaSc2Cr
_space_group_name_H-M_alt 'P 1'
_space_group_IT_number 1
_cell_length_a 3.8216
_cell_length_b 4.9263
_cell_length_c 4.9263
_cell_angle_alpha 90.00
_cell_angle_beta 90.00
_cell_angle_gamma 90.00
loop_
_space_group_symop_operation_xyz
'x,y,z'
loop_
_atom_site_label
_atom_site_fract_x
_atom_site_fract_y
_atom_site_fract_z
_atom_site_occupancy
Sc1 0.0000 0.5000 0.0000 1
Cr1 0.5000 0.0000 0.0000 1
Ca1 0.5000 0.5000 0.5000 1
Sc2 0.0000 0.0000 0.5000 1

Record 4
# GGA-PBEsol Al3CoCu, relaxed
# E_form = 0.144 eV/atom
data_Al3CoCu
_space_group_name_H-M_alt 'P 1'
_space_group_IT_number 1
_cell_length_a 4.3723
_cell_length_b 4.3723
_cell_length_c 4.3723
_cell_angle_alpha 90.00
_cell_angle_beta 90.00
_cell_angle_gamma 90.00
loop_
_space_group_symop_operation_xyz
'x,y,z'
loop_
_atom_site_label
_atom_site_fract_x
_atom_site_fract_y
_atom_site_fract_z
_atom_site_occupancy
Co1 0.0000 0.0000 0.0000 1
Al1 0.0000 0.0000 0.5000 1
Cu1 0.5000 0.5000 0.5000 1
Al2 0.5000 0.0000 0.0000 1
Al3 0.0000 0.5000 0.0000 1

Record 5
# GGA-PBEsol Zr2CdHg, relaxed
# E_form = -0.117 eV/atom
# energy relative to the lowest polymorph listed for this composition = 0.45 eV/f.u.
data_Zr2CdHg
_space_group_name_H-M_alt 'P 1'
_space_group_IT_number 1
_cell_length_a 4.2248
_cell_length_b 4.2248
_cell_length_c 5.4996
_cell_angle_alpha 112.59
_cell_angle_beta 112.59
_cell_angle_gamma 90.00
loop_
_space_group_symop_operation_xyz
'x,y,z'
loop_
_atom_site_label
_atom_site_fract_x
_atom_site_fract_y
_atom_site_fract_z
_atom_site_occupancy
Cd1 0.5000 0.5000 0.0000 1
Hg1 0.2500 0.7500 0.5000 1
Zr1 0.7500 0.2500 0.5000 1
Zr2 0.0000 0.0000 0.0000 1

Record 6
# GGA-PBEsol SrMnTe, relaxed
# energy relative to the elements, uncorrected = -349 meV/atom
data_SrMnTe
_space_group_name_H-M_alt 'P 1'
_space_group_IT_number 1
_cell_length_a 4.4463
_cell_length_b 4.5283
_cell_length_c 4.5283
_cell_angle_alpha 120.00
_cell_angle_beta 90.00
_cell_angle_gamma 90.00
loop_
_space_group_symop_operation_xyz
'x,y,z'
loop_
_atom_site_label
_atom_site_fract_x
_atom_site_fract_y
_atom_site_fract_z
_atom_site_occupancy
Sr1 0.0000 0.3333 0.6667 1
Mn1 0.5000 0.0000 0.0000 1
Te1 0.5000 0.6667 0.3333 1

Record 7
# GGA-PBEsol MgSi3Pd, relaxed
# energy relative to the elements, uncorrected = 448 meV/atom
data_MgSi3Pd
_space_group_name_H-M_alt 'P 1'
_space_group_IT_number 1
_cell_length_a 4.6947
_cell_length_b 4.6947
_cell_length_c 4.6947
_cell_angle_alpha 90.00
_cell_angle_beta 90.00
_cell_angle_gamma 90.00
loop_
_space_group_symop_operation_xyz
'x,y,z'
loop_
_atom_site_label
_atom_site_fract_x
_atom_site_fract_y
_atom_site_fract_z
_atom_site_occupancy
Mg1 0.5000 0.5000 0.5000 1
Si1 0.5000 0.0000 0.0000 1
Si2 0.0000 0.0000 0.5000 1
Pd1 0.0000 0.0000 0.0000 1
Si3 0.0000 0.5000 0.0000 1

Record 8
# GGA-PBEsol TlRhSeN2, relaxed
# energy relative to the elements, uncorrected = 2183 meV/atom
data_TlRhSeN2
_space_group_name_H-M_alt 'P 1'
_space_group_IT_number 1
_cell_length_a 4.0636
_cell_length_b 4.0636
_cell_length_c 5.7631
_cell_angle_alpha 90.00
_cell_angle_beta 90.00
_cell_angle_gamma 90.00
loop_
_space_group_symop_operation_xyz
'x,y,z'
loop_
_atom_site_label
_atom_site_fract_x
_atom_site_fract_y
_atom_site_fract_z
_atom_site_occupancy
Rh1 0.5000 0.5000 0.5000 1
Tl1 0.0000 0.0000 0.0000 1
Se1 0.0000 0.0000 0.5000 1
N1 0.5000 0.0000 0.0000 1
N2 0.0000 0.5000 0.0000 1

Record 9
# GGA-PBEsol TeW2Se2S, relaxed
# energy relative to the elements, uncorrected = -499 meV/atom
data_TeW2Se2S
_space_group_name_H-M_alt 'P 1'
_space_group_IT_number 1
_cell_length_a 3.2892
_cell_length_b 3.2892
_cell_length_c 26.4578
_cell_angle_alpha 90.00
_cell_angle_beta 90.00
_cell_angle_gamma 120.00
loop_
_space_group_symop_operation_xyz
'x,y,z'
loop_
_atom_site_label
_atom_site_fract_x
_atom_site_fract_y
_atom_site_fract_z
_atom_site_occupancy
Se1 0.3333 0.6667 0.5567 1
S1 0.3333 0.6667 0.9474 1
Se2 0.3333 0.6667 0.4303 1
W1 0.3333 0.6667 0.7529 1
Te1 0.6667 0.3333 0.8249 1
W2 0.3333 0.6667 0.2458 1
Te2 0.6667 0.3333 0.6809 1
Se3 0.6667 0.3333 0.3089 1
S2 0.3333 0.6667 0.0622 1
W3 0.6667 0.3333 0.0049 1
Se4 0.6667 0.3333 0.1826 1
W4 0.6667 0.3333 0.4935 1

Record 10
# GGA-PBEsol Y2Cu12Ni5, relaxed
# E_form = -0.155 eV/atom
data_Y2Cu12Ni5
_space_group_name_H-M_alt 'P 1'
_space_group_IT_number 1
_cell_length_a 8.0429
_cell_length_b 8.3237
_cell_length_c 8.3237
_cell_angle_alpha 120.00
_cell_angle_beta 90.00
_cell_angle_gamma 90.00
loop_
_space_group_symop_operation_xyz
'x,y,z'
loop_
_atom_site_label
_atom_site_fract_x
_atom_site_fract_y
_atom_site_fract_z
_atom_site_occupancy
Cu1 0.7500 0.3296 0.9568 1
Cu2 0.2500 0.3728 0.0432 1
Ni1 0.5000 0.0000 0.5000 1
Ni2 0.0000 0.5000 0.0000 1
Cu3 0.5214 0.3329 0.1664 1
Cu4 0.4786 0.1664 0.8336 1
Y1 0.2500 0.0000 0.0000 1
Ni3 0.0000 0.0000 0.5000 1
Ni4 0.3984 0.6667 0.3333 1
Ni5 0.5000 0.5000 0.0000 1
Cu5 0.7500 0.0432 0.6704 1
Cu6 0.7500 0.0432 0.3728 1
Ni6 0.1016 0.6667 0.3333 1
Cu7 0.7500 0.3296 0.3728 1
Cu8 0.9786 0.8336 0.1664 1
Cu9 0.2500 0.3728 0.3296 1
Y2 0.2500 0.3333 0.6667 1
Cu10 0.2500 0.6704 0.0432 1
Ni7 0.5000 0.5000 0.5000 1
Cu11 0.2500 0.6704 0.6272 1
Cu12 0.0214 0.1664 0.3329 1
Cu13 0.4786 0.1664 0.3329 1
Cu14 0.7500 0.6272 0.6704 1
Cu15 0.2500 0.9568 0.3296 1
Ni8 0.6016 0.3333 0.6667 1
Cu16 0.5214 0.8336 0.1664 1
Cu17 0.2500 0.9568 0.6272 1
Cu18 0.4786 0.6671 0.8336 1
Cu19 0.5214 0.8336 0.6671 1
Cu20 0.9786 0.8336 0.6671 1
Cu21 0.9786 0.3329 0.1664 1
Ni9 0.8984 0.3333 0.6667 1
Cu22 0.7500 0.6272 0.9568 1
Y3 0.7500 0.6667 0.3333 1
Cu23 0.0214 0.6671 0.8336 1
Cu24 0.0214 0.1664 0.8336 1
Y4 0.7500 0.0000 0.0000 1
Ni10 0.0000 0.5000 0.5000 1

Record 11
# GGA-PBEsol LaSiI, relaxed
# energy relative to the elements, uncorrected = -1169 meV/atom
data_LaSiI
_space_group_name_H-M_alt 'P 1'
_space_group_IT_number 1
_cell_length_a 4.1677
_cell_length_b 4.1677
_cell_length_c 11.8877
_cell_angle_alpha 90.00
_cell_angle_beta 90.00
_cell_angle_gamma 120.00
loop_
_space_group_symop_operation_xyz
'x,y,z'
loop_
_atom_site_label
_atom_site_fract_x
_atom_site_fract_y
_atom_site_fract_z
_atom_site_occupancy
I1 0.6667 0.3333 0.6465 1
La1 0.0000 0.0000 0.1721 1
La2 0.0000 0.0000 0.8279 1
Si1 0.3333 0.6667 0.9954 1
Si2 0.6667 0.3333 0.0046 1
I2 0.3333 0.6667 0.3535 1

Record 12
# GGA-PBEsol ZrTa3, relaxed
# E_form = 0.078 eV/atom
# energy relative to the lowest polymorph listed for this composition = 0.00 eV/f.u.
data_ZrTa3
_space_group_name_H-M_alt 'P 1'
_space_group_IT_number 1
_cell_length_a 2.8709
_cell_length_b 2.8709
_cell_length_c 9.5591
_cell_angle_alpha 90.00
_cell_angle_beta 90.00
_cell_angle_gamma 109.72
loop_
_space_group_symop_operation_xyz
'x,y,z'
loop_
_atom_site_label
_atom_site_fract_x
_atom_site_fract_y
_atom_site_fract_z
_atom_site_occupancy
Ta1 0.5000 0.5000 0.0000 1
Ta2 0.0000 0.0000 0.7637 1
Zr1 0.5000 0.5000 0.5000 1
Ta3 0.0000 0.0000 0.2363 1